Entry 1:
Compound: Ce3Cd5S12
Source: Alexandria via LeMat-Bulk
Functional: PBE-GGA
Structure: optimized geometry

a = 13.606 Å, b = 13.606 Å, c = 13.606 Å
α = 109.47°, β = 109.47°, γ = 109.47°
Fractional coordinates of all 80 atoms:
1 Ce 0.125 0.250 0.375
2 Ce 0.125 0.375 0.750
3 Ce 0.250 0.375 0.125
4 Ce 0.250 0.875 0.625
5 Ce 0.375 0.125 0.250
6 Ce 0.375 0.750 0.125
7 Ce 0.625 0.250 0.875
8 Ce 0.625 0.875 0.750
9 Ce 0.750 0.125 0.375
10 Ce 0.750 0.625 0.875
11 Ce 0.875 0.625 0.250
12 Ce 0.875 0.750 0.625
13 Cd 0.000 0.000 0.000
14 Cd 0.000 0.000 0.500
15 Cd 0.000 0.500 0.000
16 Cd 0.000 0.500 0.500
17 Cd 0.125 0.750 0.875
18 Cd 0.125 0.875 0.250
19 Cd 0.250 0.125 0.875
20 Cd 0.250 0.625 0.375
21 Cd 0.375 0.250 0.625
22 Cd 0.375 0.625 0.750
23 Cd 0.500 0.000 0.000
24 Cd 0.500 0.000 0.500
25 Cd 0.500 0.500 0.000
26 Cd 0.500 0.500 0.500
27 Cd 0.625 0.375 0.250
28 Cd 0.625 0.750 0.375
29 Cd 0.750 0.375 0.625
30 Cd 0.750 0.875 0.125
31 Cd 0.875 0.125 0.750
32 Cd 0.875 0.250 0.125
33 S 0.052 0.224 0.136
34 S 0.052 0.328 0.916
35 S 0.084 0.636 0.412
36 S 0.084 0.948 0.672
37 S 0.088 0.724 0.672
38 S 0.088 0.864 0.416
39 S 0.136 0.052 0.224
40 S 0.136 0.584 0.912
41 S 0.172 0.224 0.588
42 S 0.172 0.448 0.584
43 S 0.224 0.136 0.052
44 S 0.224 0.588 0.172
45 S 0.276 0.328 0.912
46 S 0.276 0.448 0.364
47 S 0.328 0.912 0.276
48 S 0.328 0.916 0.052
49 S 0.364 0.276 0.448
50 S 0.364 0.588 0.916
51 S 0.412 0.084 0.636
52 S 0.412 0.828 0.776
53 S 0.416 0.088 0.864
54 S 0.416 0.828 0.552
55 S 0.448 0.364 0.276
56 S 0.448 0.584 0.172
57 S 0.552 0.416 0.828
58 S 0.552 0.636 0.724
59 S 0.584 0.172 0.448
60 S 0.584 0.912 0.136
61 S 0.588 0.172 0.224
62 S 0.588 0.916 0.364
63 S 0.636 0.412 0.084
64 S 0.636 0.724 0.552
65 S 0.672 0.084 0.948
66 S 0.672 0.088 0.724
67 S 0.724 0.552 0.636
68 S 0.724 0.672 0.088
69 S 0.776 0.412 0.828
70 S 0.776 0.864 0.948
71 S 0.828 0.552 0.416
72 S 0.828 0.776 0.412
73 S 0.864 0.416 0.088
74 S 0.864 0.948 0.776
75 S 0.912 0.136 0.584
76 S 0.912 0.276 0.328
77 S 0.916 0.052 0.328
78 S 0.916 0.364 0.588
79 S 0.948 0.672 0.084
80 S 0.948 0.776 0.864

## Properties
Final energy   -4.52 eV per atom
Calculated volume   1938.99 Å³/cell
Size of the total moment   0.0000 μB per atom
Uncorrected formation energy   -0.923 eV per atom
Theoretical density   4.68 Mg/m³

Entry 2:
Compound: Re2MoPtW
Source: Alexandria via LeMat-Bulk
Functional: PBE-GGA
Structure: optimized geometry

a = 4.669 Å, b = 4.669 Å, c = 4.758 Å
α = 90.00°, β = 90.00°, γ = 90.00°
Fractional coordinates of all 5 atoms:
1 Re 0.000 0.500 0.000
2 Re 0.500 0.000 0.000
3 Mo 0.000 0.000 0.500
4 Pt 0.500 0.500 0.500
5 W 0.500 0.500 0.000

## Properties
Final energy   -8.72 eV per atom
Calculated volume   103.71 Å³/cell
Size of the total moment   0.0608 μB per atom
Energy relative to the elements   11.13 eV/f.u.
Theoretical density   13.57 Mg/m³

Entry 3:
Compound: Cs3TmTe3
Source: Alexandria via LeMat-Bulk
Functional: PBE-GGA
Structure: optimized geometry

a = 9.537 Å, b = 9.537 Å, c = 9.325 Å
α = 96.54°, β = 96.54°, γ = 113.60°
Fractional coordinates of all 14 atoms:
1 Cs 0.178 0.822 0.000
2 Cs 0.249 0.751 0.500
3 Cs 0.387 0.387 0.138
4 Cs 0.613 0.613 0.862
5 Cs 0.751 0.249 0.500
6 Cs 0.822 0.178 0.000
7 Tm 0.171 0.171 0.644
8 Tm 0.829 0.829 0.356
9 Te 0.102 0.102 0.319
10 Te 0.155 0.450 0.776
11 Te 0.450 0.155 0.776
12 Te 0.550 0.845 0.224
13 Te 0.845 0.550 0.224
14 Te 0.898 0.898 0.681

## Properties
Final energy   -3.57 eV per atom
Calculated volume   760.23 Å³/cell
Size of the total moment   0.0000 μB per atom
Uncorrected formation energy   -1.215 eV per atom
Theoretical density   4.15 Mg/m³

Entry 4:
Compound: AcGdSn2
Source: Alexandria via LeMat-Bulk
Functional: PBE-GGA
Structure: optimized geometry

a = 8.967 Å, b = 8.967 Å, c = 8.967 Å
α = 27.78°, β = 27.78°, γ = 27.78°
Fractional coordinates of all 4 atoms:
1 Ac 0.000 0.000 0.000
2 Gd 0.500 0.500 0.500
3 Sn 0.244 0.244 0.244
4 Sn 0.756 0.756 0.756

## Properties
Final energy   -7.04 eV per atom
Calculated volume   138.33 Å³/cell
Size of the total moment   1.8354 μB per atom
Energy relative to the elements   -1.96 eV/f.u.
Theoretical density   7.46 Mg/m³

Entry 5:
Compound: HoHg2Pd7
Source: Alexandria via LeMat-Bulk
Functional: PBE-GGA
Structure: optimized geometry

a = 7.934 Å, b = 7.934 Å, c = 4.364 Å
α = 90.00°, β = 90.00°, γ = 125.24°
Fractional coordinates of all 10 atoms:
1 Ho 0.000 0.000 0.000
2 Hg 0.300 0.700 0.500
3 Hg 0.700 0.300 0.500
4 Pd 0.081 0.284 0.500
5 Pd 0.188 0.812 0.000
6 Pd 0.284 0.081 0.500
7 Pd 0.500 0.500 0.500
8 Pd 0.716 0.919 0.500
9 Pd 0.812 0.188 0.000
10 Pd 0.919 0.716 0.500

## Properties
Final energy   -4.16 eV per atom
Calculated volume   224.36 Å³/cell
Size of the total moment   0.0000 μB per atom
Energy relative to the elements   -0.09 eV/f.u.
Theoretical density   9.70 Mg/m³

Entry 6:
Compound: NpZn4Pd15
Source: Alexandria via LeMat-Bulk
Functional: PBE-GGA
Structure: optimized geometry

a = 4.005 Å, b = 4.005 Å, c = 19.314 Å
α = 90.00°, β = 90.00°, γ = 90.00°
Fractional coordinates of all 20 atoms:
1 Np 0.000 0.000 0.000
2 Zn 0.000 0.000 0.209
3 Zn 0.000 0.000 0.402
4 Zn 0.000 0.000 0.598
5 Zn 0.000 0.000 0.791
6 Pd 0.000 0.500 0.105
7 Pd 0.000 0.500 0.305
8 Pd 0.000 0.500 0.500
9 Pd 0.000 0.500 0.695
10 Pd 0.000 0.500 0.895
11 Pd 0.500 0.000 0.105
12 Pd 0.500 0.000 0.305
13 Pd 0.500 0.000 0.500
14 Pd 0.500 0.000 0.695
15 Pd 0.500 0.000 0.895
16 Pd 0.500 0.500 0.000
17 Pd 0.500 0.500 0.206
18 Pd 0.500 0.500 0.403
19 Pd 0.500 0.500 0.597
20 Pd 0.500 0.500 0.794

## Properties
Final energy   -5.10 eV per atom
Calculated volume   309.78 Å³/cell
Size of the total moment   0.0029 μB per atom
Energy relative to the elements   -6.00 eV/f.u.
Theoretical density   11.23 Mg/m³

Entry 7:
Compound: LiSmDyGa
Source: Alexandria via LeMat-Bulk
Functional: PBE-GGA
Structure: optimized geometry

a = 5.148 Å, b = 5.148 Å, c = 5.148 Å
α = 60.00°, β = 60.00°, γ = 60.00°
Fractional coordinates of all 4 atoms:
1 Li 0.000 0.000 0.000
2 Sm 0.250 0.250 0.250
3 Dy 0.750 0.750 0.750
4 Ga 0.500 0.500 0.500

## Properties
Final energy   -3.87 eV per atom
Calculated volume   96.50 Å³/cell
Size of the total moment   0.0000 μB per atom
Energy relative to the elements   -1.22 eV/f.u.
Theoretical density   6.70 Mg/m³

Entry 8:
Compound: CaTmBr5
Source: Alexandria via LeMat-Bulk
Functional: PBE-GGA
Structure: optimized geometry

a = 7.465 Å, b = 7.465 Å, c = 11.106 Å
α = 110.19°, β = 110.19°, γ = 84.75°
Fractional coordinates of all 14 atoms:
1 Ca 0.071 0.929 0.750
2 Ca 0.929 0.071 0.250
3 Tm 0.000 0.500 0.000
4 Tm 0.500 0.000 0.500
5 Br 0.165 0.624 0.856
6 Br 0.215 0.259 0.505
7 Br 0.230 0.770 0.250
8 Br 0.259 0.215 0.005
9 Br 0.376 0.835 0.644
10 Br 0.624 0.165 0.356
11 Br 0.741 0.785 0.995
12 Br 0.770 0.230 0.750
13 Br 0.785 0.741 0.495
14 Br 0.835 0.376 0.144

## Properties
Final energy   -3.98 eV per atom
Calculated volume   544.81 Å³/cell
Size of the total moment   0.0000 μB per atom
Uncorrected formation energy   -1.859 eV per atom
Theoretical density   3.71 Mg/m³

Entry 9:
Compound: SmY2Er
Source: Alexandria via LeMat-Bulk
Functional: PBE-GGA
Structure: optimized geometry

a = 3.567 Å, b = 3.567 Å, c = 10.111 Å
α = 90.00°, β = 90.00°, γ = 90.00°
Fractional coordinates of all 4 atoms:
1 Sm 0.000 0.000 0.000
2 Y 0.500 0.500 0.254
3 Y 0.500 0.500 0.746
4 Er 0.000 0.000 0.500

## Properties
Final energy   -5.53 eV per atom
Calculated volume   128.67 Å³/cell
Size of the total moment   0.0000 μB per atom
Distance to the lowest polymorph of the same formula   0.016 eV/atom
Energy relative to the elements   0.10 eV/f.u.
Theoretical density   6.39 Mg/m³

Entry 10:
Compound: ZnCo2Br
Source: Alexandria via LeMat-Bulk
Functional: PBE-GGA
Structure: optimized geometry

a = 7.776 Å, b = 7.776 Å, c = 7.776 Å
α = 22.21°, β = 22.21°, γ = 22.21°
Fractional coordinates of all 4 atoms:
1 Zn 0.000 0.000 0.000
2 Co 0.251 0.251 0.251
3 Co 0.749 0.749 0.749
4 Br 0.500 0.500 0.500

## Properties
Final energy   -3.76 eV per atom
Calculated volume   58.88 Å³/cell
Size of the total moment   0.7483 μB per atom
Distance to the lowest polymorph of the same formula   0.259 eV/atom
Uncorrected formation energy   0.528 eV per atom
Theoretical density   7.42 Mg/m³

Entry 11:
Compound: Tl2CrAs
Source: Alexandria via LeMat-Bulk
Functional: PBE-GGA
Structure: optimized geometry

a = 5.485 Å, b = 5.485 Å, c = 5.485 Å
α = 130.44°, β = 130.44°, γ = 72.71°
Fractional coordinates of all 4 atoms:
1 Tl 0.000 0.000 0.000
2 Tl 0.750 0.250 0.500
3 Cr 0.500 0.500 0.000
4 As 0.250 0.750 0.500

## Properties
Final energy   -4.31 eV per atom
Calculated volume   93.38 Å³/cell
Size of the total moment   1.0149 μB per atom
Distance to the lowest polymorph of the same formula   0.320 eV/atom
Energy relative to the elements   1.76 eV/f.u.
Theoretical density   9.53 Mg/m³

Entry 12:
Compound: TaTc2GePt
Source: Alexandria via LeMat-Bulk
Functional: PBE-GGA
Structure: optimized geometry

a = 4.462 Å, b = 4.462 Å, c = 4.682 Å
α = 90.00°, β = 90.00°, γ = 90.00°
Fractional coordinates of all 5 atoms:
1 Ta 0.000 0.000 0.000
2 Tc 0.000 0.500 0.500
3 Tc 0.500 0.000 0.500
4 Ge 0.000 0.000 0.500
5 Pt 0.500 0.500 0.000

## Properties
Final energy   -7.51 eV per atom
Calculated volume   93.22 Å³/cell
Size of the total moment   0.0000 μB per atom
Distance to the lowest polymorph of the same formula   0.235 eV/atom
Energy relative to the elements   5.70 eV/f.u.
Theoretical density   11.48 Mg/m³

Entry 13:
Compound: La2Ho3ErAs6
Source: Alexandria via LeMat-Bulk
Functional: PBE-GGA
Structure: optimized geometry

a = 9.370 Å, b = 9.370 Å, c = 8.385 Å
α = 102.92°, β = 102.92°, γ = 25.87°
Fractional coordinates of all 12 atoms:
1 La 0.165 0.165 0.331
2 La 0.835 0.835 0.669
3 Ho 0.167 0.167 0.834
4 Ho 0.500 0.500 0.500
5 Ho 0.833 0.833 0.166
6 Er 0.500 0.500 0.000
7 As 0.004 0.004 0.753
8 As 0.334 0.334 0.928
9 As 0.337 0.337 0.409
10 As 0.663 0.663 0.591
11 As 0.666 0.666 0.072
12 As 0.996 0.996 0.247

## Properties
Final energy   -6.19 eV per atom
Calculated volume   312.67 Å³/cell
Size of the total moment   0.0000 μB per atom
Energy relative to the elements   -18.27 eV/f.u.
Theoretical density   7.38 Mg/m³

Entry 14:
Compound: SrIr
Source: Alexandria via LeMat-Bulk
Functional: PBE-GGA
Structure: optimized geometry

a = 4.098 Å, b = 4.098 Å, c = 9.095 Å
α = 90.00°, β = 90.00°, γ = 120.00°
Fractional coordinates of all 4 atoms:
1 Sr 0.333 0.667 0.208
2 Sr 0.667 0.333 0.792
3 Ir 0.333 0.667 0.535
4 Ir 0.667 0.333 0.465

## Properties
Final energy   -5.20 eV per atom
Calculated volume   132.28 Å³/cell
Size of the total moment   0.0000 μB per atom
Energy relative to the elements   0.15 eV/f.u.
Theoretical density   7.03 Mg/m³

Entry 15:
Compound: TlGaHPb2
Source: Alexandria via LeMat-Bulk
Functional: PBE-GGA
Structure: optimized geometry

a = 4.985 Å, b = 4.985 Å, c = 4.806 Å
α = 90.00°, β = 90.00°, γ = 90.00°
Fractional coordinates of all 5 atoms:
1 Tl 0.000 0.000 0.000
2 Ga 0.500 0.500 0.000
3 H 0.500 0.500 0.500
4 Pb 0.000 0.500 0.500
5 Pb 0.500 0.000 0.500

## Properties
Final energy   -3.01 eV per atom
Calculated volume   119.43 Å³/cell
Size of the total moment   0.0000 μB per atom
Distance to the lowest polymorph of the same formula   0.034 eV/atom
Theoretical density   9.59 Mg/m³

Entry 16:
Compound: Ca2Ac12Tb
Source: Alexandria via LeMat-Bulk
Functional: PBE-GGA
Structure: optimized geometry

a = 7.193 Å, b = 7.193 Å, c = 27.981 Å
α = 90.00°, β = 90.00°, γ = 90.00°
Fractional coordinates of all 30 atoms:
1 Ca 0.250 0.750 0.228
2 Ca 0.250 0.750 0.772
3 Ca 0.750 0.250 0.228
4 Ca 0.750 0.250 0.772
5 Ac 0.063 0.563 0.394
6 Ac 0.063 0.937 0.606
7 Ac 0.079 0.579 0.061
8 Ac 0.079 0.921 0.939
9 Ac 0.250 0.250 0.162
10 Ac 0.250 0.250 0.292
11 Ac 0.250 0.250 0.708
12 Ac 0.250 0.250 0.838
13 Ac 0.421 0.579 0.939
14 Ac 0.421 0.921 0.061
15 Ac 0.437 0.563 0.606
16 Ac 0.437 0.937 0.394
17 Ac 0.563 0.063 0.606
18 Ac 0.563 0.437 0.394
19 Ac 0.579 0.079 0.939
20 Ac 0.579 0.421 0.061
21 Ac 0.750 0.750 0.162
22 Ac 0.750 0.750 0.292
23 Ac 0.750 0.750 0.708
24 Ac 0.750 0.750 0.838
25 Ac 0.921 0.079 0.061
26 Ac 0.921 0.421 0.939
27 Ac 0.937 0.063 0.394
28 Ac 0.937 0.437 0.606
29 Tb 0.250 0.750 0.500
30 Tb 0.750 0.250 0.500

## Properties
Final energy   -3.51 eV per atom
Calculated volume   1447.57 Å³/cell
Size of the total moment   0.0000 μB per atom
Energy relative to the elements   5.30 eV/f.u.
Theoretical density   6.80 Mg/m³

Entry 17:
Compound: K3PmSm2S6
Source: Alexandria via LeMat-Bulk
Functional: PBE-GGA
Structure: optimized geometry

a = 7.188 Å, b = 7.188 Å, c = 7.770 Å
α = 98.87°, β = 98.87°, γ = 120.00°
Fractional coordinates of all 12 atoms:
1 K 0.000 0.000 0.000
2 K 0.333 0.667 0.000
3 K 0.667 0.333 0.000
4 Pm 0.500 0.500 0.500
5 Sm 0.167 0.833 0.500
6 Sm 0.833 0.167 0.500
7 S 0.097 0.431 0.294
8 S 0.234 0.234 0.706
9 S 0.431 0.097 0.294
10 S 0.569 0.903 0.706
11 S 0.766 0.766 0.294
12 S 0.903 0.569 0.706

## Properties
Final energy   -5.39 eV per atom
Calculated volume   330.78 Å³/cell
Size of the total moment   0.0000 μB per atom
Uncorrected formation energy   -1.865 eV per atom
Theoretical density   3.79 Mg/m³

Entry 18:
Compound: CrGaAgAs2
Source: Alexandria via LeMat-Bulk
Functional: PBE-GGA
Structure: optimized geometry

a = 4.609 Å, b = 4.609 Å, c = 4.792 Å
α = 90.00°, β = 90.00°, γ = 90.00°
Fractional coordinates of all 5 atoms:
1 Cr 0.000 0.000 0.000
2 Ga 0.000 0.000 0.500
3 Ag 0.500 0.500 0.500
4 As 0.000 0.500 0.000
5 As 0.500 0.000 0.000

## Properties
Final energy   -4.65 eV per atom
Calculated volume   101.79 Å³/cell
Size of the total moment   0.0000 μB per atom
Energy relative to the elements   1.54 eV/f.u.
Theoretical density   6.19 Mg/m³

Entry 19:
Compound: Pm6Tm2Al
Source: Alexandria via LeMat-Bulk
Functional: PBE-GGA
Structure: optimized geometry

a = 9.881 Å, b = 9.881 Å, c = 3.556 Å
α = 90.52°, β = 90.52°, γ = 57.16°
Fractional coordinates of all 9 atoms:
1 Pm 0.165 0.508 0.505
2 Pm 0.209 0.791 0.000
3 Pm 0.492 0.835 0.495
4 Pm 0.508 0.165 0.505
5 Pm 0.791 0.209 0.000
6 Pm 0.835 0.492 0.495
7 Tm 0.178 0.178 0.994
8 Tm 0.822 0.822 0.006
9 Al 0.500 0.500 0.500

## Properties
Final energy   -4.50 eV per atom
Calculated volume   291.64 Å³/cell
Size of the total moment   0.0000 μB per atom
Energy relative to the elements   0.66 eV/f.u.
Theoretical density   7.03 Mg/m³

Entry 20:
Compound: SrCa2Cl
Source: Alexandria via LeMat-Bulk
Functional: PBE-GGA
Structure: optimized geometry

a = 7.057 Å, b = 7.057 Å, c = 7.057 Å
α = 148.90°, β = 122.08°, γ = 67.21°
Fractional coordinates of all 4 atoms:
1 Sr 0.000 0.000 0.000
2 Ca 0.303 0.803 0.500
3 Ca 0.697 0.197 0.500
4 Cl 0.500 0.500 0.000

## Properties
Final energy   -2.58 eV per atom
Calculated volume   151.98 Å³/cell
Size of the total moment   0.0000 μB per atom
Distance to the lowest polymorph of the same formula   0.092 eV/atom
Uncorrected formation energy   -0.699 eV per atom
Theoretical density   2.22 Mg/m³